a) # NbS2N2

A geometry-optimized NbS2N2 structure (GGA-PBE, the Alexandria database).

Unit cell a=3.9347 b=3.9347 c=5.4292 alpha=90.00 beta=90.00 gamma=90.00
Site moments in Bohr magnetons follow the coordinates.
Positions (direct):
S1 0.5000 0.5000 0.5000  0.13
S2 0.0000 0.0000 0.5000  0.01
Nb1 0.0000 0.0000 0.0000  -0.05
N1 0.0000 0.5000 0.0000  0.30
N2 0.5000 0.0000 0.0000  0.30

Computed properties:
Theoretical density = 3.66 g/cm³
SG = No. 123
Total magnetization = 0.95 μB per formula unit



b) # NbS2N2

A geometry-optimized NbS2N2 structure (GGA-PBE, the Alexandria database).

Unit cell a=3.8144 b=3.8144 c=4.0178 alpha=90.00 beta=90.00 gamma=90.00
Positions (direct):
S1 0.5000 0.0000 0.0000
S2 0.0000 0.5000 0.0000
N1 0.0000 0.0000 0.0000
N2 0.0000 0.0000 0.5000
Nb1 0.5000 0.5000 0.5000

Computed properties:
Theoretical density = 5.26 g/cm³
SG = No. 123
Total magnetization = 0.00 μB per formula unit



c) # NbS2N2

A geometry-optimized NbS2N2 structure (GGA-PBE, the Alexandria database).

Unit cell a=3.6613 b=3.6613 c=4.3588 alpha=90.00 beta=90.00 gamma=90.00
Site moments in Bohr magnetons follow the coordinates.
Positions (direct):
N1 0.0000 0.5000 0.0000  -0.01
N2 0.5000 0.0000 0.0000  -0.01
S1 0.0000 0.0000 0.5000  0.00
S2 0.0000 0.0000 0.0000  0.00
Nb1 0.5000 0.5000 0.5000  0.07

Computed properties:
Theoretical density = 5.26 g/cm³
SG = No. 123
Total magnetization = 0.06 μB per formula unit



d) # NbS2N2

A geometry-optimized NbS2N2 structure (GGA-PBE, the Alexandria database).

Unit cell a=4.8673 b=4.8673 c=4.0390 alpha=90.00 beta=90.00 gamma=90.00
Site moments in Bohr magnetons follow the coordinates.
Positions (direct):
S1 0.0000 0.5000 0.0000  0.01
S2 0.5000 0.0000 0.0000  0.01
N1 0.0000 0.0000 0.5000  0.13
N2 0.5000 0.5000 0.5000  1.80
Nb1 0.0000 0.0000 0.0000  0.07

Computed properties:
Theoretical density = 3.21 g/cm³
SG = No. 123
Total magnetization = 2.94 μB per formula unit



The structure with the most favorable energy is a); the runner-up is 445 meV per atom above it.